SrSnW2F | GGA+U | optimized geometry

Results
total DFT energy (no corrections): -4.070 eV/atom
V: 125.4 Å³/cell
Fermi-level density of states: 3.05 states/eV per cell
total magnetization: 7.9 μB/cell

Cell: 4.960 4.960 5.097 Å, 90.00 90.00 90.00°
Space group P4/mmm (No. 123)
Unique sites:
Sr 0.000 0.000 0.000 [1 per cell]
Sn 0.500 0.500 0.000 [1 per cell]
W 0.000 0.500 0.500 [2 per cell]
F 0.000 0.000 0.500 [1 per cell]